First-principles (GGA+U) data for a relaxed YMn2O4 crystal, as listed in the Alexandria database.

Unit cell a=9.0008 b=8.8238 c=6.4366 alpha=90.00 beta=132.29 gamma=90.00
With the nearest neighbours (Å) after each atom.
Space group C2/c (No. 15)
Asymmetric unit:
Y1 0.2500 0.2500 0.0000 x4  6 O 2.25-2.28
Mn1 0.0000 0.0000 0.0000 x4  4 O 1.99-2.00
Mn2 0.0000 0.3656 0.2500 x4  4 O 2.10-2.15
O1 0.0092 0.2256 0.5231 x8  2 Mn 1.99-2.10
O2 0.2279 0.0038 0.5115 x8  2 Mn 2.00-2.15

Summary:
**Magnetization**: 36.000 Bohr magnetons per cell
**Energy**: -8.134 eV per atom
**ΔE to the lowest computed polymorph**: 0.0428 eV/atom